# PBE-GGA BiSI2N, optimized geometry
# Distance to the lowest polymorph of the same formula, eV per atom: 0.395
# E_form (uncorrected), kJ/mol of atoms: 110.3
# ρ, kg/m³: 4937
# DOS(E_F), states/eV/f.u.: 5.2
# Energy, eV/atom: -2.744
data_BiSI2N
_cell_length_a 6.293
_cell_length_b 6.293
_cell_length_c 4.322
_cell_angle_alpha 90.00
_cell_angle_beta 90.00
_cell_angle_gamma 90.00
_space_group_name_H-M_alt 'P 4/m m m'
_space_group_IT_number 123
_space_group_name_Hall '-P 4 2'
loop_
_atom_site_label
_atom_site_type_symbol
_atom_site_fract_x
_atom_site_fract_y
_atom_site_fract_z
Bi1 Bi 0.000 0.000 0.000
S1 S 0.500 0.500 0.500
I1 I 0.000 0.500 0.000
N1 N 0.000 0.000 0.500